No. 1
{"formula": "NaSr2Pt2", "functional": "PBE", "state": "optimized geometry", "total_magnetization_mub_per_cell": 0.0, "delta_e_f_ev_per_atom": -0.60, "crystal_system": "tetragonal", "lattice_angstrom": [[-1.149, -6.085, 5.160], [2.278, -5.246, -5.680], [3.993, 0.339, 1.288]], "species": ["Sr", "Pt", "Pt", "Sr", "Pt", "Sr", "Na", "Pt", "Sr", "Na"], "frac_coords": [[0.168, 0.668, 0.500], [0.122, 0.378, 0.000], [0.378, 0.878, 0.000], [0.832, 0.332, 0.500], [0.622, 0.122, 0.000], [0.668, 0.832, 0.500], [0.500, 0.500, 0.000], [0.878, 0.622, 0.000], [0.332, 0.168, 0.500], [0.000, 0.000, 0.000]]}



No. 2
{"formula": "Na3Sr7Pt2", "functional": "PBE", "state": "optimized geometry", "total_magnetization_mub_per_cell": 0.0, "delta_e_f_ev_per_atom": -0.36, "crystal_system": "orthorhombic", "lattice_angstrom": [[-4.898, -3.173, 1.275], [3.357, -4.005, 2.928], [-3.415, 9.730, 11.100]], "species": ["Sr", "Sr", "Sr", "Sr", "Pt", "Sr", "Sr", "Pt", "Na", "Na", "Na", "Sr"], "frac_coords": [[0.000, 0.397, 0.794], [0.500, 0.899, 0.797], [0.500, 0.101, 0.203], [0.000, 0.603, 0.206], [0.000, 0.102, 0.203], [0.000, 0.799, 0.598], [0.000, 0.201, 0.402], [0.000, 0.898, 0.797], [0.500, 0.500, 0.000], [0.500, 0.704, 0.408], [0.500, 0.296, 0.592], [0.000, 0.000, 0.000]]}



No. 3
{"formula": "NaSrPt", "functional": "PBE", "state": "optimized geometry", "total_magnetization_mub_per_cell": 0.0, "delta_e_f_ev_per_atom": -0.48, "crystal_system": "monoclinic", "lattice_angstrom": [[4.106, 0.002, 0.012], [-0.002, 4.549, 0.013], [-0.022, -0.026, 10.207]], "species": ["Na", "Sr", "Pt", "Pt", "Na", "Sr"], "frac_coords": [[0.115, 0.729, 0.224], [0.616, 0.229, 0.001], [0.116, 0.229, 0.765], [0.116, 0.729, 0.932], [0.117, 0.229, 0.474], [0.617, 0.729, 0.697]]}



No. 4
{"formula": "NaSr2Pt2", "functional": "PBE", "state": "optimized geometry", "total_magnetization_mub_per_cell": 0.0, "delta_e_f_ev_per_atom": -0.34, "crystal_system": "tetragonal", "lattice_angstrom": [[-0.361, 1.507, -3.660], [-3.952, -0.350, 0.245], [-2.751, 10.059, 2.256]], "species": ["Pt", "Pt", "Na", "Sr", "Sr"], "frac_coords": [[0.750, 0.250, 0.500], [0.250, 0.750, 0.500], [0.000, 0.000, 0.000], [0.641, 0.641, 0.718], [0.359, 0.359, 0.282]]}



No. 5
{"formula": "Na2Sr8Pt", "functional": "PBE", "state": "optimized geometry", "total_magnetization_mub_per_cell": 0.0, "delta_e_f_ev_per_atom": -0.16, "crystal_system": "monoclinic", "lattice_angstrom": [[6.509, -0.207, -2.478], [-1.243, 7.362, -3.880], [0.362, 0.935, 10.782]], "species": ["Sr", "Na", "Sr", "Sr", "Sr", "Sr", "Na", "Sr", "Sr", "Pt", "Sr"], "frac_coords": [[0.817, 0.812, 0.126], [0.990, 0.248, 0.496], [0.601, 0.358, 0.717], [0.183, 0.686, 0.874], [0.625, 0.869, 0.738], [0.183, 0.188, 0.874], [0.010, 0.752, 0.504], [0.399, 0.642, 0.283], [0.375, 0.131, 0.262], [0.000, 0.000, 0.000], [0.817, 0.314, 0.126]]}



No. 6
{"formula": "Na2SrPt2", "functional": "PBE", "state": "optimized geometry", "total_magnetization_mub_per_cell": 0.0, "delta_e_f_ev_per_atom": -0.23, "crystal_system": "tetragonal", "lattice_angstrom": [[-6.650, -3.664, 3.559], [4.977, -5.961, 3.164], [0.418, 1.685, 2.516]], "species": ["Sr", "Na", "Na", "Na", "Pt", "Na", "Sr", "Pt", "Pt", "Pt"], "frac_coords": [[0.500, 0.500, 0.000], [0.612, 0.112, 0.000], [0.112, 0.388, 0.000], [0.888, 0.612, 0.000], [0.814, 0.314, 0.500], [0.388, 0.888, 0.000], [0.000, 0.000, 0.000], [0.186, 0.686, 0.500], [0.686, 0.814, 0.500], [0.314, 0.186, 0.500]]}